# 1
Computed, not measured: ZnPdF3 after structural relaxation at the GGA-PBE level of DFT.

Calculated values
The energy relative to the elements, uncorrected is -0.94 eV per atom. The value obtained for the density of states at the Fermi level is 2.30 states/eV/f.u. As for the space group: Pm-3m (221). The value obtained for the magnetization is 0.70 μB per cell.

Unit cell a=4.246 b=4.246 c=4.246 alpha=90.00 beta=90.00 gamma=90.00
Element x y z (fractional)
1 Zn 0.500 0.500 0.500
2 Pd 0.000 0.000 0.000
3 F 0.000 0.500 0.000
4 F 0.000 0.000 0.500
5 F 0.500 0.000 0.000



# 2
Computed, not measured: Nd12Hg3Te5 after structural relaxation at the GGA-PBE level of DFT.

Calculated values
The energy relative to the elements, uncorrected is -0.47 eV per atom. The value obtained for the density of states at the Fermi level is 21.45 states/eV/f.u. As for the space group: Ia-3d (230). The value obtained for the magnetization is 9.40 μB per cell.

Unit cell a=15.886 b=15.886 c=15.886 alpha=109.47 beta=109.47 gamma=109.47
Element x y z (fractional)
1 Hg 0.750 0.375 0.125
2 Hg 0.875 0.750 0.125
3 Hg 0.375 0.750 0.625
4 Hg 0.250 0.125 0.375
5 Hg 0.875 0.125 0.250
6 Hg 0.375 0.625 0.250
7 Hg 0.625 0.375 0.750
8 Hg 0.125 0.875 0.750
9 Hg 0.750 0.875 0.625
10 Hg 0.625 0.250 0.375
11 Hg 0.125 0.250 0.875
12 Hg 0.250 0.625 0.875
13 Te 0.125 0.375 0.250
14 Te 0.000 0.500 0.000
15 Te 0.000 0.000 0.000
16 Te 0.375 0.250 0.125
17 Te 0.500 0.000 0.500
18 Te 0.500 0.500 0.000
19 Te 0.125 0.750 0.375
20 Te 0.750 0.125 0.875
21 Te 0.750 0.625 0.375
22 Te 0.375 0.125 0.750
23 Te 0.625 0.875 0.250
24 Te 0.500 0.500 0.500
25 Te 0.500 0.000 0.000
26 Te 0.000 0.000 0.500
27 Te 0.250 0.375 0.625
28 Te 0.250 0.875 0.125
29 Te 0.000 0.500 0.500
30 Te 0.875 0.250 0.625
31 Te 0.625 0.750 0.875
32 Te 0.875 0.625 0.750
33 Nd 0.727 0.137 0.060
34 Nd 0.334 0.560 0.424
35 Nd 0.940 0.363 0.273
36 Nd 0.560 0.227 0.137
37 Nd 0.590 0.727 0.666
38 Nd 0.940 0.576 0.166
39 Nd 0.334 0.773 0.410
40 Nd 0.076 0.910 0.137
41 Nd 0.576 0.940 0.666
42 Nd 0.727 0.590 0.166
43 Nd 0.773 0.440 0.363
44 Nd 0.834 0.924 0.060
45 Nd 0.137 0.727 0.560
46 Nd 0.363 0.424 0.090
47 Nd 0.090 0.924 0.363
48 Nd 0.410 0.137 0.576
49 Nd 0.090 0.166 0.227
50 Nd 0.440 0.666 0.076
51 Nd 0.834 0.910 0.273
52 Nd 0.137 0.410 0.076
53 Nd 0.363 0.940 0.773
54 Nd 0.576 0.637 0.410
55 Nd 0.924 0.834 0.560
56 Nd 0.773 0.334 0.910
57 Nd 0.424 0.363 0.590
58 Nd 0.076 0.166 0.440
59 Nd 0.227 0.666 0.090
60 Nd 0.166 0.090 0.727
61 Nd 0.637 0.060 0.227
62 Nd 0.863 0.590 0.924
63 Nd 0.560 0.334 0.924
64 Nd 0.590 0.863 0.424
65 Nd 0.910 0.834 0.773
66 Nd 0.910 0.076 0.637
67 Nd 0.863 0.273 0.440
68 Nd 0.166 0.076 0.940
69 Nd 0.637 0.576 0.910
70 Nd 0.424 0.060 0.334
71 Nd 0.273 0.410 0.834
72 Nd 0.227 0.560 0.637
73 Nd 0.924 0.090 0.863
74 Nd 0.666 0.227 0.590
75 Nd 0.440 0.773 0.863
76 Nd 0.060 0.424 0.834
77 Nd 0.410 0.273 0.334
78 Nd 0.060 0.637 0.727
79 Nd 0.666 0.440 0.576
80 Nd 0.273 0.863 0.940



# 3
Computed, not measured: LaTbPt2 after structural relaxation at the GGA-PBE level of DFT.

Calculated values
The value obtained for the density of states at the Fermi level is 2.84 states/eV/f.u. As for the space group: P4/mmm (123). The value obtained for the magnetization is 0.00 μB per cell. The calculation puts the total energy at -6.544 eV per atom.

Unit cell a=3.565 b=3.565 c=7.248 alpha=90.00 beta=90.00 gamma=90.00
Element x y z (fractional)
1 Tb 0.500 0.500 0.000
2 Pt 0.000 0.000 0.771
3 Pt 0.000 0.000 0.229
4 La 0.500 0.500 0.500



# 4
Computed, not measured: Nd2SmAlO after structural relaxation at the GGA-PBE level of DFT.

Calculated values
The energy relative to the elements, uncorrected is -1.32 eV per atom. The value obtained for the density of states at the Fermi level is 1.44 states/eV/f.u. As for the space group: P4/mmm (123). The value obtained for the magnetization is 0.00 μB per cell.

Unit cell a=4.851 b=4.937 c=4.937 alpha=90.00 beta=90.00 gamma=90.00
Element x y z (fractional)
1 Nd 0.000 0.000 0.500
2 Nd 0.000 0.500 0.000
3 Sm 0.500 0.000 0.000
4 Al 0.500 0.500 0.500
5 O 0.000 0.000 0.000



# 5
Computed, not measured: Tb3Er4Sc4 after structural relaxation at the GGA-PBE level of DFT.

Calculated values
The value obtained for the density of states at the Fermi level is 20.29 states/eV/f.u. As for the space group: P-1 (2). The value obtained for the magnetization is 0.00 μB per cell. The calculation puts the total energy at -5.156 eV per atom.

Unit cell a=3.374 b=5.413 c=17.492 alpha=81.13 beta=84.45 gamma=90.00
Element x y z (fractional)
1 Tb 0.138 0.639 0.723
2 Tb 0.862 0.361 0.276
3 Tb 0.000 0.000 0.000
4 Er 0.547 0.547 0.906
5 Er 0.453 0.453 0.094
6 Er 0.317 0.817 0.365
7 Er 0.683 0.183 0.635
8 Sc 0.592 0.092 0.816
9 Sc 0.266 0.266 0.468
10 Sc 0.734 0.734 0.532
11 Sc 0.408 0.908 0.184



# 6
Computed, not measured: Hf6InHg after structural relaxation at the GGA-PBE level of DFT.

Calculated values
The value obtained for the density of states at the Fermi level is 5.08 states/eV/f.u. As for the space group: Pm-3 (200). The value obtained for the magnetization is 0.00 μB per cell. The calculation puts the total energy at -7.931 eV per atom.

Unit cell a=7.866 b=7.867 c=5.563 alpha=45.00 beta=44.98 gamma=59.99
Element x y z (fractional)
1 Hf 0.001 0.500 0.748
2 Hf 0.751 0.000 0.749
3 Hf 0.500 0.249 0.251
4 Hf 0.249 0.000 0.251
5 Hf 0.999 0.500 0.252
6 Hf 0.500 0.751 0.749
7 In 0.500 0.500 0.500
8 Hg 0.000 0.000 0.000



# 7
Computed, not measured: In3I3Br after structural relaxation at the GGA-PBE level of DFT.

Calculated values
The energy relative to the elements, uncorrected is -0.47 eV per atom. The value obtained for the density of states at the Fermi level is 4.16 states/eV/f.u. As for the space group: Pnma (62). The value obtained for the magnetization is 0.00 μB per cell.

Unit cell a=4.671 b=14.328 c=16.629 alpha=90.00 beta=90.00 gamma=90.00
Element x y z (fractional)
1 In 0.750 0.941 0.894
2 In 0.250 0.559 0.394
3 In 0.250 0.059 0.106
4 In 0.750 0.441 0.606
5 In 0.750 0.915 0.386
6 In 0.250 0.585 0.886
7 In 0.250 0.085 0.614
8 In 0.750 0.415 0.114
9 In 0.750 0.747 0.152
10 In 0.250 0.753 0.652
11 In 0.250 0.253 0.848
12 In 0.750 0.247 0.348
13 I 0.750 0.750 0.807
14 I 0.250 0.750 0.307
15 I 0.250 0.250 0.193
16 I 0.750 0.250 0.693
17 I 0.750 0.140 0.987
18 I 0.250 0.360 0.487
19 I 0.250 0.860 0.013
20 I 0.750 0.640 0.513
21 I 0.750 0.919 0.595
22 I 0.250 0.581 0.095
23 I 0.250 0.081 0.405
24 I 0.750 0.419 0.905
25 Br 0.750 0.987 0.195
26 Br 0.250 0.513 0.695
27 Br 0.250 0.013 0.805
28 Br 0.750 0.487 0.305



# 8
Computed, not measured: Tb6RuO12 after structural relaxation at the GGA-PBE level of DFT.

Calculated values
The energy relative to the elements, uncorrected is -2.99 eV per atom. The value obtained for the density of states at the Fermi level is 9.09 states/eV/f.u. As for the space group: R-3 (148). The value obtained for the magnetization is 1.99 μB per cell.

Unit cell a=6.502 b=6.502 c=6.502 alpha=98.55 beta=98.55 gamma=98.55
Element x y z (fractional)
1 Tb 0.688 0.856 0.388
2 Tb 0.612 0.312 0.144
3 Tb 0.144 0.612 0.312
4 Tb 0.312 0.144 0.612
5 Tb 0.388 0.688 0.856
6 Tb 0.856 0.388 0.688
7 Ru 0.000 0.000 0.000
8 O 0.822 0.565 0.409
9 O 0.409 0.822 0.565
10 O 0.565 0.409 0.822
11 O 0.178 0.435 0.591
12 O 0.591 0.178 0.435
13 O 0.435 0.591 0.178
14 O 0.071 0.965 0.297
15 O 0.035 0.703 0.929
16 O 0.703 0.929 0.035
17 O 0.929 0.035 0.703
18 O 0.965 0.297 0.071
19 O 0.297 0.071 0.965